[1]
{
  "formula": "PrTh2",
  "functional": "GGA-PBE",
  "state": "optimized geometry",
  "e_above_lowest_polymorph_mev_per_atom": 0.0,
  "lattice": [[-1.808, 1.808, 7.674], [1.808, -1.808, 7.674], [1.808, 1.808, -7.674]],
  "species": ["Pr", "Th", "Th"],
  "frac_coords": [[0.000, 0.000, 0.000], [0.329, 0.329, 0.000], [0.671, 0.671, 0.000]]
}

---

[2]
{
  "formula": "Pr3Th",
  "functional": "GGA-PBE",
  "state": "optimized geometry",
  "e_above_lowest_polymorph_mev_per_atom": 0.0,
  "lattice": [[3.664, 0.000, 0.000], [0.000, 3.664, 0.000], [0.000, 0.000, 21.009]],
  "species": ["Pr", "Pr", "Pr", "Pr", "Pr", "Pr", "Th", "Th"],
  "frac_coords": [[0.250, 0.250, 0.064], [0.250, 0.250, 0.322], [0.250, 0.250, 0.810], [0.750, 0.750, 0.190], [0.750, 0.750, 0.678], [0.750, 0.750, 0.936], [0.250, 0.250, 0.557], [0.750, 0.750, 0.443]]
}

---

[3]
{
  "formula": "Pr8Th3",
  "functional": "GGA-PBE",
  "state": "optimized geometry",
  "lattice": [[6.167, 3.561, 3.023], [-6.167, 3.561, 3.023], [0.000, -7.122, 3.023]],
  "species": ["Pr", "Pr", "Pr", "Pr", "Pr", "Pr", "Pr", "Pr", "Th", "Th", "Th"],
  "frac_coords": [[0.184, 0.676, 0.561], [0.226, 0.226, 0.226], [0.324, 0.439, 0.816], [0.439, 0.816, 0.324], [0.561, 0.184, 0.676], [0.676, 0.561, 0.184], [0.774, 0.774, 0.774], [0.816, 0.324, 0.439], [0.000, 0.000, 0.500], [0.000, 0.500, 0.000], [0.500, 0.000, 0.000]]
}

---

[4]
{
  "formula": "Pr4Th",
  "functional": "GGA-PBE",
  "state": "optimized geometry",
  "e_above_lowest_polymorph_mev_per_atom": 0.0,
  "lattice": [[1.841, 1.063, 15.085], [-1.841, 1.063, 15.085], [0.000, -2.126, 15.085]],
  "species": ["Pr", "Pr", "Pr", "Pr", "Th"],
  "frac_coords": [[0.103, 0.103, 0.103], [0.300, 0.300, 0.300], [0.700, 0.700, 0.700], [0.897, 0.897, 0.897], [0.500, 0.500, 0.500]]
}

---

Calculated V in order - 33.46, 35.25, 36.21, 35.41 Å³ per atom
Calculated E_tot in order - -19.4, -43.3, -55.6, -26.4 eV per cell
Calculated calculated formation energy in order - 0.059, 0.023, 0.441, 0.028 eV per atom